Entry 1:
This record from Alexandria via LeMat-Bulk describes a geometry-optimized TbHoGe2Pt5 structure. The functional is GGA-PBE.

Summary:
- symmetry = P4/mmm
- electronic total energy (eV per atom) = -6.343
- volume (Å³/cell) = 163.6
- formation energy (eV per formula unit) = -8.44

abc: 4.2510 4.2510 9.0532
angles: 90.00 90.00 90.00
Last column: nearest neighbours and their distance in Å.
Atoms (fractional coordinates):
Tb 0.0000 0.0000 0.0000  12 Pt 2.96-3.01
Ho 0.0000 0.0000 0.5000  8 Ge 3.24, 8 Pt 3.26
Ge 0.5000 0.5000 0.3667  1 Ge 2.41, 4 Pt 2.47
Ge 0.5000 0.5000 0.6333  1 Ge 2.41, 4 Pt 2.47
Pt 0.0000 0.5000 0.2272  2 Ge 2.47
Pt 0.0000 0.5000 0.7728  2 Ge 2.47
Pt 0.5000 0.0000 0.2272  2 Ge 2.47
Pt 0.5000 0.0000 0.7728  2 Ge 2.47
Pt 0.5000 0.5000 0.0000  8 Pt 2.96, 4 Tb 3.01

Entry 2:
This record from Alexandria via LeMat-Bulk describes a geometry-optimized CsAgAuF6 structure. The functional is GGA-PBE.

Summary:
- symmetry = P1
- electronic total energy (eV per atom) = -3.499
- formation energy from raw total energies (meV/atom) = -1475.8
- volume (Å³/cell) = 195.9

abc: 5.7884 5.8466 6.2549
angles: 67.94 89.23 86.85
Last column: nearest neighbours and their distance in Å.
Atoms (fractional coordinates):
Cs 0.0000 0.0000 0.0000  8 F 3.04-3.40
Ag 0.4600 0.3392 0.2096  2 F 2.02-2.04
Au 0.4531 0.7248 0.6571  4 F 1.97-1.98
F 0.1586 0.4820 0.0312  1 Ag 2.04
F 0.2711 0.0401 0.5025  1 Au 1.98
F 0.3700 0.6284 0.3996  1 Au 1.97
F 0.5340 0.8192 0.9168  1 Au 1.97
F 0.6135 0.4009 0.8289  1 Au 1.98
F 0.7493 0.1464 0.3710  1 Ag 2.02

Entry 3:
This record from Alexandria via LeMat-Bulk describes a geometry-optimized Tb5Pt4O structure. The functional is GGA-PBE.

Summary:
- symmetry = I4
- electronic total energy (eV per atom) = -6.676
- formation energy from raw total energies (meV/atom) = -1448.6
- volume (Å³/cell) = 216.0

abc: 6.8417 6.8417 6.8417
angles: 99.32 99.32 132.53
Last column: nearest neighbours and their distance in Å.
Atoms (fractional coordinates):
Tb 0.0000 0.0000 0.0000  1 O 2.35
Tb 0.2757 0.6497 0.8705  1 O 2.49
Tb 0.4052 0.2757 0.6260  1 O 2.49
Tb 0.6497 0.7791 0.3740  1 O 2.49
Tb 0.7791 0.4052 0.1295  1 O 2.49
Pt 0.0995 0.3638 0.4070  6 Tb 2.82-3.04
Pt 0.3638 0.9567 0.2643  6 Tb 2.82-3.04
Pt 0.6924 0.0995 0.7357  6 Tb 2.82-3.04
Pt 0.9567 0.6924 0.5930  6 Tb 2.82-3.04
O 0.5736 0.5736 0.0000  5 Tb 2.35-2.49

Entry 4:
This record from Alexandria via LeMat-Bulk describes a geometry-optimized YTaBe2 structure. The functional is GGA-PBE.

Summary:
- symmetry = I-4m2
- electronic total energy (eV per atom) = -5.966
- ΔE to the lowest computed polymorph (meV/atom) = 369.5
- volume (Å³/cell) = 64.8
- formation energy (eV per formula unit) = 1.90

abc: 5.1827 5.1827 5.1827
angles: 136.63 136.63 63.01
Last column: nearest neighbours and their distance in Å.
Atoms (fractional coordinates):
Y 0.0000 0.0000 0.0000  8 Be 2.71-2.92, 4 Ta 2.92
Ta 0.7500 0.2500 0.5000  8 Be 2.71-2.92, 4 Y 2.92
Be 0.2500 0.7500 0.5000  4 Ta 2.71, 4 Be 2.92, 4 Y 2.92
Be 0.5000 0.5000 0.0000  4 Y 2.71, 4 Ta 2.92, 4 Be 2.92

Entry 5:
This record from Alexandria via LeMat-Bulk describes a geometry-optimized Nd3Tm3Th2 structure. The functional is GGA-PBE.

Summary:
- symmetry = Immm
- electronic total energy (eV per atom) = -5.287
- volume (Å³/cell) = 261.0
- formation energy (eV per formula unit) = 0.26

abc: 10.8200 10.8200 10.8200
angles: 153.07 152.88 38.59
Last column: nearest neighbours and their distance in Å.
Atoms (fractional coordinates):
Nd 0.0000 0.0000 0.0000  8 Tm 3.57-3.62, 4 Nd 3.64
Nd 0.3722 0.8722 0.5000  4 Th 3.55, 6 Tm 3.57-3.63, 2 Nd 3.64
Nd 0.6278 0.1278 0.5000  4 Th 3.55, 6 Tm 3.57-3.63, 2 Nd 3.64
Tm 0.1276 0.6276 0.5000  4 Th 3.54-3.57, 6 Nd 3.57-3.62, 2 Tm 3.64
Tm 0.5000 0.5000 0.0000  8 Nd 3.57-3.63, 4 Tm 3.64
Tm 0.8724 0.3724 0.5000  4 Th 3.54-3.57, 6 Nd 3.57-3.62, 2 Tm 3.64
Th 0.2495 0.2495 0.0000  4 Tm 3.54-3.57, 4 Nd 3.55, 4 Th 3.57
Th 0.7505 0.7505 0.0000  4 Tm 3.54-3.57, 4 Nd 3.55, 4 Th 3.57

Entry 6:
This record from Alexandria via LeMat-Bulk describes a geometry-optimized CaTb2Pr8 structure. The functional is GGA-PBE.

Summary:
- symmetry = C2/m
- electronic total energy (eV per atom) = -4.475
- volume (Å³/cell) = 393.6
- formation energy (eV per formula unit) = 0.28

abc: 9.7785 9.7785 8.2611
angles: 104.46 104.46 31.06
Last column: nearest neighbours and their distance in Å.
Atoms (fractional coordinates):
Ca 0.0000 0.0000 0.0000  12 Pr 3.73-3.77
Tb 0.2728 0.2728 0.3645  10 Pr 3.60-3.69, 2 Tb 3.69
Tb 0.7272 0.7272 0.6355  10 Pr 3.60-3.69, 2 Tb 3.69
Pr 0.0932 0.0932 0.4603  8 Pr 3.63-3.75, 3 Tb 3.66-3.67, 1 Ca 3.75
Pr 0.1841 0.1841 0.9100  8 Pr 3.60-3.73, 3 Tb 3.69, 1 Ca 3.73
Pr 0.3590 0.3590 0.8084  7 Pr 3.60-3.84, 3 Tb 3.60-3.64, 2 Ca 3.77
Pr 0.4527 0.4527 0.2801  9 Pr 3.61-3.84, 1 Tb 3.63, 2 Ca 3.75
Pr 0.5473 0.5473 0.7199  9 Pr 3.61-3.84, 1 Tb 3.63, 2 Ca 3.75
Pr 0.6410 0.6410 0.1916  7 Pr 3.60-3.84, 3 Tb 3.60-3.64, 2 Ca 3.77
Pr 0.8159 0.8159 0.0900  8 Pr 3.60-3.73, 3 Tb 3.69, 1 Ca 3.73
Pr 0.9068 0.9068 0.5397  8 Pr 3.63-3.75, 3 Tb 3.66-3.67, 1 Ca 3.75

Entry 7:
This record from Alexandria via LeMat-Bulk describes a geometry-optimized Pr2EuIn structure. The functional is GGA-PBE.

Summary:
- symmetry = P4/mmm
- electronic total energy (eV per atom) = -5.836
- ΔE to the lowest computed polymorph (meV/atom) = 46.8
- volume (Å³/cell) = 136.8
- formation energy (eV per formula unit) = -0.77

abc: 3.8053 3.8053 9.4471
angles: 90.00 90.00 90.00
Last column: nearest neighbours and their distance in Å.
Atoms (fractional coordinates):
Pr 0.0000 0.0000 0.2141  4 In 3.37
Pr 0.0000 0.0000 0.7859  4 In 3.37
Eu 0.5000 0.5000 0.5000  4 Eu 3.81, 8 Pr 3.81
In 0.5000 0.5000 0.0000  8 Pr 3.37

Entry 8:
This record from Alexandria via LeMat-Bulk describes a geometry-optimized K5HgF8 structure. The functional is GGA-PBE.

Summary:
- symmetry = I-4
- electronic total energy (eV per atom) = -3.762
- formation energy from raw total energies (meV/atom) = -2278.9
- volume (Å³/cell) = 249.1

abc: 6.8679 6.8679 6.8679
angles: 110.61 110.61 107.22
Last column: nearest neighbours and their distance in Å.
Atoms (fractional coordinates):
K 0.0000 0.0000 0.0000  8 F 2.68-2.99
K 0.1155 0.5064 0.8660  7 F 2.59-2.84
K 0.4936 0.3596 0.6091  7 F 2.59-2.84
K 0.6404 0.2495 0.1340  7 F 2.59-2.84
K 0.7505 0.8845 0.3909  7 F 2.59-2.84
Hg 0.2500 0.7500 0.5000  4 F 2.20
F 0.0287 0.2740 0.4103  5 K 2.59-2.77, 1 Hg 2.89
F 0.2372 0.0642 0.7190  1 Hg 2.20
F 0.3452 0.5183 0.2810  1 Hg 2.20
F 0.3817 0.9713 0.2454  5 K 2.59-2.77, 1 Hg 2.89
F 0.4817 0.7628 0.8270  1 Hg 2.20
F 0.7260 0.1363 0.7546  5 K 2.59-2.77, 1 Hg 2.89
F 0.8637 0.6183 0.5897  5 K 2.59-2.77, 1 Hg 2.89
F 0.9358 0.6548 0.1730  1 Hg 2.20

Entry 9:
This record from Alexandria via LeMat-Bulk describes a geometry-optimized RbTl2AgCl4 structure. The functional is GGA-PBE.

Summary:
- symmetry = Cmcm
- electronic total energy (eV per atom) = -3.096
- formation energy from raw total energies (meV/atom) = -1103.8
- volume (Å³/cell) = 533.3

abc: 7.8748 7.8748 15.9222
angles: 90.00 90.00 147.31
Last column: nearest neighbours and their distance in Å.
Atoms (fractional coordinates):
Rb 0.1108 0.8892 0.7500  6 Cl 3.38-3.44
Rb 0.8892 0.1108 0.2500  6 Cl 3.38-3.44
Tl 0.3666 0.6334 0.5501  6 Cl 3.10-3.36
Tl 0.3666 0.6334 0.9499  6 Cl 3.10-3.36
Tl 0.6334 0.3666 0.0501  6 Cl 3.10-3.36
Tl 0.6334 0.3666 0.4499  6 Cl 3.10-3.36
Ag 0.1591 0.8409 0.2500  4 Cl 2.62-2.65
Ag 0.8409 0.1591 0.7500  4 Cl 2.62-2.65
Cl 0.0000 0.0000 0.0000  4 Tl 3.10
Cl 0.0000 0.0000 0.5000  4 Tl 3.10
Cl 0.2773 0.7227 0.1297  1 Ag 2.62
Cl 0.2773 0.7227 0.3703  1 Ag 2.62
Cl 0.4368 0.5632 0.7500  2 Ag 2.65
Cl 0.5632 0.4368 0.2500  2 Ag 2.65
Cl 0.7227 0.2773 0.6297  1 Ag 2.62
Cl 0.7227 0.2773 0.8703  1 Ag 2.62

Entry 10:
This record from Alexandria via LeMat-Bulk describes a geometry-optimized Nd5Er4Tm4 structure. The functional is GGA-PBE.

Summary:
- symmetry = I4/m
- electronic total energy (eV per atom) = -4.590
- volume (Å³/cell) = 417.7
- formation energy (eV per formula unit) = 0.31

abc: 9.4505 9.4505 9.4505
angles: 94.07 94.07 149.11
Last column: nearest neighbours and their distance in Å.
Atoms (fractional coordinates):
Nd 0.0000 0.0000 0.0000  8 Nd 3.59, 4 Tm 3.61
Nd 0.3050 0.4611 0.7661  5 Tm 3.51-3.59, 3 Er 3.55, 4 Nd 3.59-3.62
Nd 0.4611 0.6950 0.1560  5 Tm 3.51-3.59, 3 Er 3.55, 4 Nd 3.59-3.62
Nd 0.5389 0.3050 0.8440  5 Tm 3.51-3.59, 3 Er 3.55, 4 Nd 3.59-3.62
Nd 0.6950 0.5389 0.2339  5 Tm 3.51-3.59, 3 Er 3.55, 4 Nd 3.59-3.62
Er 0.0757 0.6139 0.6896  5 Er 3.52-3.54, 3 Nd 3.55, 4 Tm 3.56-3.60
Er 0.3861 0.0757 0.4618  5 Er 3.52-3.54, 3 Nd 3.55, 4 Tm 3.56-3.60
Er 0.6139 0.9243 0.5382  5 Er 3.52-3.54, 3 Nd 3.55, 4 Tm 3.56-3.60
Er 0.9243 0.3861 0.3104  5 Er 3.52-3.54, 3 Nd 3.55, 4 Tm 3.56-3.60
Tm 0.1550 0.2333 0.3883  6 Nd 3.51-3.61, 2 Tm 3.54, 4 Er 3.56-3.60
Tm 0.2333 0.8450 0.0783  6 Nd 3.51-3.61, 2 Tm 3.54, 4 Er 3.56-3.60
Tm 0.7667 0.1550 0.9217  6 Nd 3.51-3.61, 2 Tm 3.54, 4 Er 3.56-3.60
Tm 0.8450 0.7667 0.6117  6 Nd 3.51-3.61, 2 Tm 3.54, 4 Er 3.56-3.60

Entry 11:
This record from Alexandria via LeMat-Bulk describes a geometry-optimized TaTcNi2 structure. The functional is GGA-PBE.

Summary:
- symmetry = Fm-3m
- electronic total energy (eV per atom) = -8.397
- ΔE to the lowest computed polymorph (meV/atom) = 263.8
- volume (Å³/cell) = 54.6
- formation energy (eV per formula unit) = 0.19

abc: 4.2576 4.2576 4.2576
angles: 60.00 60.00 60.00
Last column: nearest neighbours and their distance in Å.
Atoms (fractional coordinates):
Ta 0.0000 0.0000 0.0000  8 Ni 2.61
Tc 0.5000 0.5000 0.5000  8 Ni 2.61
Ni 0.2500 0.2500 0.2500  4 Tc 2.61, 4 Ta 2.61
Ni 0.7500 0.7500 0.7500  4 Ta 2.61, 4 Tc 2.61

Entry 12:
This record from Alexandria via LeMat-Bulk describes a geometry-optimized Lu2Te3 structure. The functional is GGA-PBE.

Summary:
- symmetry = Pm-3m
- electronic total energy (eV per atom) = -4.112
- formation energy from raw total energies (meV/atom) = -418.8
- volume (Å³/cell) = 181.1

abc: 5.6572 5.6572 5.6572
angles: 90.00 90.00 90.00
Last column: nearest neighbours and their distance in Å.
Atoms (fractional coordinates):
Lu 0.0000 0.0000 0.0000  6 Te 2.83
Lu 0.5000 0.5000 0.5000  12 Te 4.00
Te 0.0000 0.0000 0.5000  2 Lu 2.83
Te 0.0000 0.5000 0.0000  2 Lu 2.83
Te 0.5000 0.0000 0.0000  2 Lu 2.83